Record 1
Crystalline Ho2ErPd at its relaxed geometry, computed with GGA-PBE.

The structure in extended XYZ format:
```
8
Lattice="-1.2843 3.2782 -1.2802 -1.0875 -4.3362 -4.5295 -8.3265 -1.8061 3.7281" Properties=species:S:1:pos:R:3 pbc="T T T"
Er -6.4633 -1.6938 2.1439
Ho -1.6079 0.8045 -1.8116
Er -4.2349 -1.1703 -4.2254
Ho -4.7735 0.1178 -0.3942
Pd -7.7878 -1.1213 -0.5370
Pd -2.9104 -1.7428 -1.5446
Ho -9.0903 -3.6687 -0.2700
Ho -5.9247 -2.9820 -1.6873
```

Output
The uncorrected energy is -20.8 eV/f.u. The calculation puts the formation energy from the elements at -0.46 eV per atom. As for the energy above the lowest structure with this stoichiometry: 0.08 eV per formula unit. As for the magnetic moment: 0.000 μB/f.u.

Record 2
Crystalline AlPt2W at its relaxed geometry, computed with GGA-PBE.

The structure in extended XYZ format:
```
4
Lattice="-0.6289 -3.5913 1.5809 2.6501 -0.0471 0.9473 1.0521 2.2933 5.6281" Properties=species:S:1:pos:R:3 pbc="T T T"
Pt 0.0025 0.0041 0.0104
W 0.6111 -1.2341 2.4343
Pt 1.8486 1.1190 3.2773
Al 2.4622 -0.1111 5.7220
```

Output
The uncorrected energy is -30.5 eV/f.u. The calculation puts the formation energy from the elements at -0.43 eV per atom. As for the magnetic moment: 0.000 μB/f.u.

Record 3
Crystalline Li2TbAs2Pt2 at its relaxed geometry, computed with GGA-PBE.

The structure in extended XYZ format:
```
7
Lattice="4.2651 0.0000 0.0000 2.1325 3.6937 0.0000 2.1325 1.2312 7.7522" Properties=species:S:1:pos:R:3 pbc="T T T"
Li 2.1325 1.2312 4.4584
Tb 0.0000 0.0000 0.0000
As 6.3976 3.6937 5.9220
As 2.1325 1.2312 1.8302
Li 6.3976 3.6937 3.2938
Pt 4.2651 2.4624 2.1144
Pt 4.2651 2.4624 5.6378
```

Output
The uncorrected energy is -36.2 eV/f.u. The calculation puts the formation energy from the elements at -0.91 eV per atom. As for the magnetic moment: 0.000 μB/f.u.

Record 4
Crystalline SmFeCoGe2 at its relaxed geometry, computed with GGA-PBE.

The structure in extended XYZ format:
```
5
Lattice="-1.2734 -1.5309 -3.5131 3.7652 0.1893 -1.4473 -0.3577 -3.9761 4.1832" Properties=species:S:1:pos:R:3 pbc="T T T"
Ge 0.6525 -3.4138 1.2511
Co 2.3267 -2.2288 0.1279
Sm 0.0000 0.0000 0.0000
Fe -0.1926 -3.0889 -0.9051
Ge 1.4816 -1.9039 -2.0283
```

Output
The uncorrected energy is -32.2 eV/f.u. The calculation puts the formation energy from the elements at -0.54 eV per atom. As for the magnetic moment: 0.000 μB/f.u.

Record 5
Crystalline RbNiPd at its relaxed geometry, computed with GGA-PBE.

The structure in extended XYZ format:
```
12
Lattice="5.4226 0.0000 0.0000 0.0000 5.7369 0.0000 0.0000 0.0000 7.9182" Properties=species:S:1:pos:R:3 pbc="T T T"
Pd 2.7113 0.0000 0.0000
Ni 4.0670 1.4342 1.9795
Rb 2.7113 4.3027 2.9625
Pd 2.7113 2.8685 0.0000
Rb 2.7113 1.4342 4.9557
Rb 0.0000 4.3027 0.9966
Ni 4.0670 4.3027 5.9386
Pd 0.0000 2.8685 3.9591
Rb 0.0000 1.4342 6.9216
Pd 0.0000 0.0000 3.9591
Ni 1.3557 4.3027 5.9386
Ni 1.3557 1.4342 1.9795
```

Output
The uncorrected energy is -10.8 eV/f.u. The calculation puts the formation energy from the elements at 0.39 eV per atom. As for the energy above the lowest structure with this stoichiometry: 0.59 eV per formula unit. As for the magnetic moment: 0.831 μB/f.u.

Record 6
Crystalline TaGa2Cl at its relaxed geometry, computed with GGA-PBE.

The structure in extended XYZ format:
```
8
Lattice="-6.3549 3.2015 5.0318 3.3848 -4.1179 6.8948 -0.1469 1.4444 6.4427" Properties=species:S:1:pos:R:3 pbc="T T T"
Ga -2.4448 -0.0400 15.8061
Cl 0.8764 -1.5659 9.6504
Ga -1.4882 1.0611 8.7664
Ta 0.0000 0.0000 0.0000
Ga 1.7805 -2.0623 6.1562
Ga -4.0815 2.0972 6.0102
Ta -3.9934 2.0938 8.7189
Cl -1.4850 -0.4582 5.9633
```

Output
The uncorrected energy is -18.3 eV/f.u. As for the energy above the lowest structure with this stoichiometry: 0.00 eV per formula unit. As for the magnetic moment: 0.000 μB/f.u. The raw formation energy is 34 kJ per mole of atoms.

Record 7
Crystalline Na2SrRh3F12 at its relaxed geometry, computed with GGA-PBE.

The structure in extended XYZ format:
```
18
Lattice="-1.1679 4.2630 5.6050 -6.8627 1.0796 1.6406 -2.2812 -3.2833 5.9134" Properties=species:S:1:pos:R:3 pbc="T T T"
F -5.8822 1.3012 10.6008
F -4.1448 -1.4606 7.1268
F -1.9534 2.1422 4.2818
F -6.8483 -1.0988 6.2209
F -3.3629 0.8496 8.6473
Rh -3.4313 0.5398 0.8203
F -6.9488 1.2096 4.5117
F -8.3583 -0.0830 8.8771
Na -6.6775 1.3335 8.5212
F -3.4634 3.1580 6.9380
F -6.1669 3.5199 6.0321
Rh -1.1406 -1.6417 2.9567
F -7.8742 3.1981 8.7430
Rh -0.5839 2.1315 2.8025
Sr 0.0000 0.0000 0.0000
F -4.4295 0.7581 2.5581
Na -3.6343 0.7258 4.6377
F -2.4375 -1.1389 4.4160
```

Output
The uncorrected energy is -87.0 eV/f.u. As for the magnetic moment: 1.029 μB/f.u. The raw formation energy is -204 kJ per mole of atoms.

Record 8
Crystalline WN at its relaxed geometry, computed with GGA-PBE.

The structure in extended XYZ format:
```
4
Lattice="-1.9697 0.8266 2.0164 2.6331 -0.9948 0.8402 2.3163 5.9740 -0.1862" Properties=species:S:1:pos:R:3 pbc="T T T"
N 1.6143 5.5058 1.4596
N 1.9904 1.9117 1.1606
W 0.0211 1.3970 1.5877
W 2.7136 3.7769 1.1025
```

Output
The uncorrected energy is -21.4 eV/f.u. As for the magnetic moment: 0.000 μB/f.u. The raw formation energy is -8 kJ per mole of atoms.

Record 9
Crystalline PmTmHgPd at its relaxed geometry, computed with GGA-PBE.

The structure in extended XYZ format:
```
4
Lattice="-1.5490 4.8694 0.6365 -0.2892 2.0122 4.7311 3.3707 3.6020 1.4763" Properties=species:S:1:pos:R:3 pbc="T T T"
Hg 0.7663 5.2418 3.4220
Pd 0.0000 0.0000 0.0000
Tm 0.3831 2.6209 1.7110
Pm 1.1494 7.8627 5.1329
```

Output
The uncorrected energy is -17.2 eV/f.u. The calculation puts the formation energy from the elements at -0.62 eV per atom. As for the magnetic moment: 0.000 μB/f.u.

Record 10
Crystalline TaSnSeBr2 at its relaxed geometry, computed with GGA-PBE.

The structure in extended XYZ format:
```
5
Lattice="-2.5876 1.1960 -4.6400 1.5838 -4.7635 -2.1111 -4.5641 -2.3743 1.9333" Properties=species:S:1:pos:R:3 pbc="T T T"
Br 0.7919 -2.3818 -1.0555
Br -1.2938 0.5980 -2.3200
Sn 0.0000 0.0000 0.0000
Ta -2.7840 -2.9709 -2.4089
Se -2.2821 -1.1871 0.9666
```

Output
The uncorrected energy is -18.0 eV/f.u. As for the energy above the lowest structure with this stoichiometry: 4.52 eV per formula unit. As for the magnetic moment: 3.544 μB/f.u. The raw formation energy is 90 kJ per mole of atoms.

Record 11
Crystalline Ho3IrPd2 at its relaxed geometry, computed with GGA-PBE.

The structure in extended XYZ format:
```
12
Lattice="4.9081 0.0000 0.0195 2.4541 7.3635 0.0097 -0.0275 0.0000 6.9063" Properties=species:S:1:pos:R:3 pbc="T T T"
Ir 2.4541 2.4167 0.0097
Ho 2.4331 4.8722 5.2425
Pd -0.0137 0.0000 3.4532
Pd 2.4403 2.4547 3.4629
Ho 2.4474 0.0000 1.7018
Ho 4.9016 2.4913 1.6931
Ir 4.9081 4.9469 0.0195
Ho 4.8872 2.4913 5.2522
Pd 4.8944 4.9088 3.4727
Ho 2.4332 0.0000 5.2240
Pd 0.0000 0.0000 0.0000
Ho 2.4475 4.8722 1.6833
```

Output
The uncorrected energy is -38.5 eV/f.u. The calculation puts the formation energy from the elements at -0.92 eV per atom. As for the magnetic moment: 0.000 μB/f.u.

Record 12
Crystalline TlInOs2 at its relaxed geometry, computed with GGA-PBE.

The structure in extended XYZ format:
```
4
Lattice="-8.4206 3.9844 2.5595 -9.4076 1.2540 1.8049 -8.3341 1.7519 4.5614" Properties=species:S:1:pos:R:3 pbc="T T T"
Tl -13.2374 3.5369 4.5162
Os -26.0000 6.9470 8.8704
In -19.4049 5.1848 6.6203
Os -6.7633 1.8071 2.3074
```

Output
The uncorrected energy is -25.0 eV/f.u. The calculation puts the formation energy from the elements at 0.64 eV per atom. As for the energy above the lowest structure with this stoichiometry: 0.90 eV per formula unit. As for the magnetic moment: 0.000 μB/f.u.